# LaYCuAg, optimized geometry, DFT PBE
data_LaYCuAg
_cell_length_a 3.614
_cell_length_b 3.614
_cell_length_c 7.456
_cell_angle_alpha 90.00
_cell_angle_beta 90.00
_cell_angle_gamma 90.00
_space_group_name_H-M_alt 'P 1'
_space_group_IT_number 1
_space_group_name_Hall 'P 1'
loop_
_atom_site_label
_atom_site_type_symbol
_atom_site_fract_x
_atom_site_fract_y
_atom_site_fract_z
La1 La 0.000 0.000 0.843
Y1 Y 0.000 0.000 0.371
Cu1 Cu 0.500 0.500 0.583
Ag1 Ag 0.500 0.500 0.132
# Density of states at the Fermi level   0.6569 states/eV/atom
# Calculated formation energy   -0.24 eV per atom
# Symmetry   P4mm (99)
# Relative energy among the computed polymorphs   0 meV per atom